# 1
{
  "formula": "ThSc2Zn9",
  "functional": "PBE",
  "state": "optimized geometry",
  "cell": [[5.120, 0.000, 1.524], [2.333, 4.558, 1.524], [0.101, 0.062, 9.026]],
  "species": ["Zn", "Zn", "Zn", "Zn", "Zn", "Zn", "Zn", "Zn", "Zn", "Th", "Sc", "Sc"],
  "fractional_positions": [[0.590, 0.078, 0.743], [0.078, 0.590, 0.743], [0.410, 0.410, 0.257], [0.590, 0.590, 0.743], [0.500, 0.500, 0.500], [0.335, 0.335, 0.994], [0.922, 0.410, 0.257], [0.410, 0.922, 0.257], [0.665, 0.665, 0.006], [0.000, 0.000, 0.000], [0.857, 0.857, 0.428], [0.143, 0.143, 0.572]],
  "e_form_ev_per_fu": -3.55
}

# 2
{
  "formula": "Ti5Al2Mo2",
  "functional": "PBE",
  "state": "optimized geometry",
  "cell": [[-2.907, 2.113, 4.375], [-6.508, 0.681, -4.654], [1.319, -6.686, 4.105]],
  "species": ["Ti", "Ti", "Ti", "Ti", "Ti", "Ti", "Ti", "Ti", "Ti", "Ti", "Mo", "Mo", "Mo", "Mo", "Al", "Al", "Al", "Al"],
  "fractional_positions": [[0.750, 0.897, 0.294], [0.750, 0.103, 0.706], [0.500, 0.500, 0.000], [0.250, 0.103, 0.706], [0.250, 0.603, 0.706], [0.000, 0.000, 0.000], [0.250, 0.397, 0.294], [0.250, 0.897, 0.294], [0.750, 0.397, 0.294], [0.750, 0.603, 0.706], [0.000, 0.333, 0.000], [0.500, 0.833, 0.000], [0.500, 0.167, 0.000], [0.000, 0.667, 0.000], [0.500, 0.250, 0.499], [0.000, 0.250, 0.501], [0.500, 0.750, 0.501], [0.000, 0.750, 0.499]],
  "e_form_ev_per_fu": -0.19
}